1.
{"formula": "BaCeSe2", "functional": "PBE", "state": "relaxed", "cell": [[-0.0554, 4.2467, 1.2767], [0.0211, -3.2291, 3.0397], [22.0153, 0.2525, 0.1156]], "species": ["Ba", "Ba", "Ba", "Se", "Se", "Se", "Se", "Se", "Se", "Ce", "Ce", "Ce"], "fractional_positions": [[0.3333, 0.6667, 0.6829], [0.0000, 0.0000, 0.5000], [0.6667, 0.3333, 0.3171], [0.3333, 0.6667, 0.9263], [0.0000, 0.0000, 0.7779], [0.6667, 0.3333, 0.0737], [0.3333, 0.6667, 0.4076], [0.6667, 0.3333, 0.5924], [0.0000, 0.0000, 0.2221], [0.6667, 0.3333, 0.8547], [0.3333, 0.6667, 0.1453], [0.0000, 0.0000, 0.0000]], "raw_formation_energy_ev_per_atom": -1.879, "total_energy_ha_per_atom": -0.205, "e_above_lowest_polymorph_ev_per_atom": 0.000, "magnetic_moment_mub_per_cell": 3.49}

2.
{"formula": "CaPaPb2O8", "functional": "PBE", "state": "relaxed", "cell": [[6.3250, 0.3617, 0.0000], [-2.4811, 5.8293, 0.0000], [-1.9220, -3.0955, 5.1827]], "species": ["O", "O", "O", "O", "O", "O", "O", "O", "Pb", "Pb", "Pa", "Ca"], "fractional_positions": [[0.9705, 0.2891, 0.3186], [0.9019, 0.6986, 0.2033], [0.3014, 0.5047, 0.2033], [0.3481, 0.0295, 0.3186], [0.7109, 0.0295, 0.6814], [0.4953, 0.6986, 0.7967], [0.9705, 0.6519, 0.6814], [0.3014, 0.0981, 0.7967], [0.7500, 0.2500, 0.5000], [0.5000, 0.5000, 0.0000], [0.2500, 0.7500, 0.5000], [0.0000, 0.0000, 0.0000]], "raw_formation_energy_ev_per_atom": -1.738, "total_energy_ha_per_atom": -0.243, "magnetic_moment_mub_per_cell": 1.06}

3.
{"formula": "Li2ZrSe4", "functional": "PBE", "state": "relaxed", "cell": [[7.3777, 0.0000, 0.0000], [3.6889, 6.6810, -0.8296], [3.6889, 1.3904, 6.5872]], "species": ["Se", "Se", "Se", "Se", "Se", "Se", "Se", "Se", "Li", "Li", "Li", "Li", "Zr", "Zr"], "fractional_positions": [[0.3073, 0.7762, 0.2762], [0.3598, 0.2238, 0.7238], [0.2069, 0.3370, 0.2492], [0.2069, 0.7492, 0.8370], [0.7931, 0.6630, 0.7508], [0.7931, 0.2508, 0.1630], [0.6402, 0.7762, 0.2762], [0.6927, 0.2238, 0.7238], [0.2281, 0.0219, 0.5219], [0.7719, 0.9781, 0.4781], [0.5000, 0.5000, 0.5000], [0.5000, 0.0000, 0.0000], [0.0000, 0.5000, 0.0000], [0.5000, 0.5000, 0.0000]], "raw_formation_energy_ev_per_atom": -1.011, "total_energy_ha_per_atom": -0.175, "magnetic_moment_mub_per_cell": 0.00}